## Dy2SiO5 (PBE-GGA)

Data for crystalline Dy2SiO5 at its relaxed geometry.

energy relative to the elements, uncorrected	-3.359	eV per atom
calculated volume	102	Å³/f.u.
space group	P2_1/c (14)
relative energy among the computed polymorphs	0.18	eV per formula unit
VASP energy	-8.2867	eV per atom

extended XYZ file:
```
32
Lattice="9.140 0.000 0.000 0.000 6.898 0.000 -1.846 0.000 6.491" Properties=species:S:1:pos:R:3 pbc="T T T"
Dy -0.166 0.858 1.505
Dy -1.089 2.591 4.751
Dy 3.310 0.960 0.369
Dy 2.387 2.489 3.615
Dy 4.907 4.409 2.876
Dy 3.984 5.938 6.122
Dy 8.383 4.307 1.740
Dy 7.460 6.040 4.986
Si 2.689 4.068 0.165
Si 1.766 6.278 3.410
Si 5.528 0.619 3.081
Si 4.605 2.830 6.326
O -0.697 0.822 6.101
O 0.227 2.627 2.855
O -0.776 4.388 6.414
O 0.147 5.959 3.169
O 2.044 0.491 2.191
O 1.121 2.958 5.437
O 2.068 0.347 4.702
O 2.991 3.102 1.457
O 2.662 4.941 3.377
O 3.585 5.406 0.132
O 3.709 1.492 6.359
O 4.632 1.957 3.114
O 4.303 3.796 5.034
O 5.226 6.551 1.789
O 6.173 3.940 1.054
O 5.250 6.407 4.300
O 7.147 0.939 3.322
O 8.070 2.510 0.077
O 7.067 4.271 3.636
O 7.990 6.076 0.390
```